# 1
Material: Li2PrNdSi2
Method: DFT, PBE
State: relaxed

Structure (POSCAR):
```
Li2PrNdSi2
1.0
4.4800 0.0000 0.0000
-2.2400 3.8798 0.0000
0.0000 0.0000 7.5794
Li Pr Nd Si
2 1 1 2
direct
0.3333 0.6667 0.2441
0.6667 0.3333 0.7559
0.0000 0.0000 0.5000
0.0000 0.0000 0.0000
0.3333 0.6667 0.7529
0.6667 0.3333 0.2471
```

Computed properties:
The calculation puts the raw formation energy at -51 kJ per mole of atoms.

# 2
Material: Na2ErPb6
Method: DFT, PBE
State: relaxed

Structure (POSCAR):
```
Na2ErPb6
1.0
6.1659 -6.8050 0.0000
6.1659 6.8050 0.0000
-1.2112 0.0000 6.4323
Na Er Pb
4 2 12
direct
0.1234 0.1562 0.3720
0.1562 0.1234 0.8720
0.8438 0.8766 0.1280
0.8766 0.8438 0.6280
0.4015 0.5985 0.7500
0.5985 0.4015 0.2500
0.0625 0.4372 0.7177
0.1631 0.7739 0.9916
0.2261 0.8369 0.5084
0.2590 0.4681 0.2141
0.4372 0.0625 0.2177
0.4681 0.2590 0.7141
0.5319 0.7410 0.2859
0.5628 0.9375 0.7823
0.7410 0.5319 0.7859
0.7739 0.1631 0.4916
0.8369 0.2261 0.0084
0.9375 0.5628 0.2823
```

Computed properties:
The value obtained for the calculated formation energy is -0.0807 eV/atom.

# 3
Material: Nd3HgRu
Method: DFT, PBE
State: relaxed

Structure (POSCAR):
```
Nd3HgRu
1.0
0.0000 5.1271 8.0375
3.3470 0.0000 8.0375
3.3470 5.1271 0.0000
Nd Hg Ru
6 2 2
direct
0.1966 0.1966 0.8034
0.1999 0.5793 0.4207
0.4207 0.8001 0.1999
0.5793 0.1999 0.8001
0.8001 0.4207 0.5793
0.8034 0.8034 0.1966
0.2129 0.7871 0.7871
0.7871 0.2129 0.2129
0.2500 0.2500 0.2500
0.7500 0.7500 0.7500
```

Computed properties:
The value obtained for the calculated formation energy is -0.3134 eV/atom. For the excess energy over the best structure of this formula in the dataset, the calculation gives 0 meV per atom.

# 4
Material: LaTmZnCu
Method: DFT, PBE
State: relaxed

Structure (POSCAR):
```
LaTmZnCu
1.0
0.0000 3.6004 3.6004
3.6004 0.0000 3.6004
3.6004 3.6004 0.0000
La Tm Zn Cu
1 1 1 1
direct
0.0000 0.0000 0.0000
0.5000 0.5000 0.5000
0.2500 0.2500 0.2500
0.7500 0.7500 0.7500
```

Computed properties:
The value obtained for the calculated formation energy is -0.2408 eV/atom. For the excess energy over the best structure of this formula in the dataset, the calculation gives 24 meV per atom.

# 5
Material: MgTcSbI2
Method: DFT, PBE
State: relaxed

Structure (POSCAR):
```
MgTcSbI2
1.0
5.6030 0.0000 0.0000
0.0000 5.6030 0.0000
0.0000 0.0000 5.1273
Mg Tc Sb I
1 1 1 2
direct
0.0000 0.0000 0.0000
0.5000 0.5000 0.5000
0.5000 0.5000 0.0000
0.0000 0.5000 0.5000
0.5000 0.0000 0.5000
```

Computed properties:
The calculation puts the raw formation energy at 41 kJ per mole of atoms. For the excess energy over the best structure of this formula in the dataset, the calculation gives 0 meV per atom.

# 6
Material: RbCuHg2Se
Method: DFT, PBE
State: relaxed

Structure (POSCAR):
```
RbCuHg2Se
1.0
5.3606 0.0000 0.0000
0.0000 5.3606 0.0000
0.0000 0.0000 5.0387
Rb Cu Hg Se
1 1 2 1
direct
0.0000 0.0000 0.0000
0.5000 0.5000 0.5000
0.0000 0.5000 0.5000
0.5000 0.0000 0.5000
0.5000 0.5000 0.0000
```

Computed properties:
The calculation puts the raw formation energy at -27 kJ per mole of atoms.

# 7
Material: LuNbV
Method: DFT, PBE
State: relaxed

Structure (POSCAR):
```
LuNbV
1.0
-1.6954 1.6954 5.2352
1.6954 -1.6954 5.2352
1.6954 1.6954 -5.2352
Lu Nb V
1 1 1
direct
0.0000 0.0000 0.0000
0.7014 0.7014 0.0000
0.3051 0.3051 0.0000
```

Computed properties:
The value obtained for the calculated formation energy is 0.1556 eV/atom.

# 8
Material: La2UTl2Se6
Method: DFT, PBE
State: relaxed

Structure (POSCAR):
```
La2UTl2Se6
1.0
3.7705 -6.5099 0.0000
3.7705 6.5099 0.0000
-2.5595 0.0000 7.6922
La U Tl Se
2 1 2 6
direct
0.1664 0.8336 0.0000
0.8336 0.1664 0.0000
0.5000 0.5000 0.0000
0.3309 0.6691 0.5000
0.6691 0.3309 0.5000
0.1141 0.4329 0.7958
0.2578 0.2578 0.2066
0.4329 0.1141 0.7958
0.5671 0.8859 0.2042
0.7422 0.7422 0.7934
0.8859 0.5671 0.2042
```

Computed properties:
The calculation puts the raw formation energy at -131 kJ per mole of atoms.

# 9
Material: Ac2NdDyP4
Method: DFT, PBE
State: relaxed

Structure (POSCAR):
```
Ac2NdDyP4
1.0
7.3875 0.0000 0.0000
0.0000 4.2689 0.0000
-2.4592 0.0000 6.9855
Ac Nd Dy P
2 1 1 4
direct
0.0000 0.0000 0.0000
0.5000 0.5000 0.0000
0.0000 0.5000 0.5000
0.5000 0.0000 0.5000
0.2486 0.0000 0.7327
0.2608 0.5000 0.2699
0.7392 0.5000 0.7301
0.7514 0.0000 0.2673
```

Computed properties:
The value obtained for the calculated formation energy is -1.4836 eV/atom.

# 10
Material: Pr2IrI3
Method: DFT, PBE
State: relaxed

Structure (POSCAR):
```
Pr2IrI3
1.0
9.2179 -2.2591 0.0000
9.2179 2.2591 0.0000
-6.5589 0.0000 10.8550
Pr Ir I
4 2 6
direct
0.0855 0.0855 0.4110
0.3684 0.3684 0.2008
0.6316 0.6316 0.7992
0.9145 0.9145 0.5890
0.0728 0.0728 0.6344
0.9272 0.9272 0.3656
0.1617 0.1617 0.0186
0.2884 0.2884 0.3915
0.4487 0.4487 0.7907
0.5513 0.5513 0.2093
0.7116 0.7116 0.6085
0.8383 0.8383 0.9814
```

Computed properties:
The calculation puts the raw formation energy at -99 kJ per mole of atoms.

# 11
Material: Y12Al3O5
Method: DFT, PBE
State: relaxed

Structure (POSCAR):
```
Y12Al3O5
1.0
-7.7107 7.7107 7.7107
7.7107 -7.7107 7.7107
7.7107 7.7107 -7.7107
Y Al O
48 12 20
direct
0.0148 0.2014 0.1117
0.0148 0.3134 0.9032
0.0898 0.7014 0.6866
0.0898 0.8883 0.4032
0.0968 0.6117 0.4102
0.0968 0.9852 0.6866
0.1117 0.0148 0.2014
0.1117 0.5968 0.9102
0.1866 0.2014 0.5898
0.1866 0.4852 0.5968
0.2014 0.1117 0.0148
0.2014 0.5898 0.1866
0.2986 0.3134 0.9102
0.2986 0.4852 0.3883
0.3134 0.9032 0.0148
0.3134 0.9102 0.2986
0.3883 0.2986 0.4852
0.3883 0.5898 0.9032
0.4032 0.0898 0.8883
0.4032 0.8134 0.5148
0.4102 0.0968 0.6117
0.4102 0.8134 0.7986
0.4852 0.3883 0.2986
0.4852 0.5968 0.1866
0.5148 0.4032 0.8134
0.5148 0.6117 0.7014
0.5898 0.1866 0.2014
0.5898 0.9032 0.3883
0.5968 0.1866 0.4852
0.5968 0.9102 0.1117
0.6117 0.4102 0.0968
0.6117 0.7014 0.5148
0.6866 0.0898 0.7014
0.6866 0.0968 0.9852
0.7014 0.5148 0.6117
0.7014 0.6866 0.0898
0.7986 0.4102 0.8134
0.7986 0.8883 0.9852
0.8134 0.5148 0.4032
0.8134 0.7986 0.4102
0.8883 0.4032 0.0898
0.8883 0.9852 0.7986
0.9032 0.0148 0.3134
0.9032 0.3883 0.5898
0.9102 0.1117 0.5968
0.9102 0.2986 0.3134
0.9852 0.6866 0.0968
0.9852 0.7986 0.8883
0.1250 0.2500 0.3750
0.1250 0.3750 0.7500
0.2500 0.3750 0.1250
0.2500 0.8750 0.6250
0.3750 0.1250 0.2500
0.3750 0.7500 0.1250
0.6250 0.2500 0.8750
0.6250 0.8750 0.7500
0.7500 0.1250 0.3750
0.7500 0.6250 0.8750
0.8750 0.6250 0.2500
0.8750 0.7500 0.6250
0.0000 0.0000 0.0000
0.0000 0.0000 0.5000
0.0000 0.5000 0.0000
0.0000 0.5000 0.5000
0.1250 0.7500 0.8750
0.1250 0.8750 0.2500
0.2500 0.1250 0.8750
0.2500 0.6250 0.3750
0.3750 0.2500 0.6250
0.3750 0.6250 0.7500
0.5000 0.0000 0.0000
0.5000 0.0000 0.5000
0.5000 0.5000 0.0000
0.5000 0.5000 0.5000
0.6250 0.3750 0.2500
0.6250 0.7500 0.3750
0.7500 0.3750 0.6250
0.7500 0.8750 0.1250
0.8750 0.1250 0.7500
0.8750 0.2500 0.1250
```

Computed properties:
The calculation puts the raw formation energy at -147 kJ per mole of atoms.

# 12
Material: KVSi2
Method: DFT, PBE
State: relaxed

Structure (POSCAR):
```
KVSi2
1.0
-2.6403 2.6403 8.0693
2.6403 -2.6403 8.0693
2.6403 2.6403 -8.0693
K V Si
2 2 4
direct
0.3750 0.6250 0.7500
0.6250 0.3750 0.2500
0.1250 0.8750 0.2500
0.8750 0.1250 0.7500
0.0000 0.0000 0.0000
0.0000 0.0000 0.5000
0.0000 0.5000 0.0000
0.5000 0.0000 0.5000
```

Computed properties:
The calculation puts the raw formation energy at 42 kJ per mole of atoms. For the excess energy over the best structure of this formula in the dataset, the calculation gives 0 meV per atom.

Please write out number 7 again, unchanged.
Material: LuNbV
Method: DFT, PBE
State: relaxed

Structure (POSCAR):
```
LuNbV
1.0
-1.6954 1.6954 5.2352
1.6954 -1.6954 5.2352
1.6954 1.6954 -5.2352
Lu Nb V
1 1 1
direct
0.0000 0.0000 0.0000
0.7014 0.7014 0.0000
0.3051 0.3051 0.0000
```

Computed properties:
The value obtained for the calculated formation energy is 0.1556 eV/atom.

Number 2 is which compound? Na2ErPb6

Number 11 is which compound? Y12Al3O5